SrCdIn (PBE-GGA, optimized geometry); crystal system = cubic; theoretical density = 5.2 g cm⁻³; ΔH_f (0 K) = -0.23 eV/atom
1.0
5.2078 0.0000 0.0000
2.6039 4.5101 0.0000
2.6039 1.5034 4.2522
Sr Cd In
1 1 1
direct
0.5000 0.5000 0.5000 Sr
0.2500 0.2500 0.2500 Cd
0.0000 0.0000 0.0000 In